No. 1
First-principles (PBE) data for a relaxed KGdNb crystal, as listed in OQMD.

Properties
Crystal system = cubic
Energy relative to the lowest polymorph listed for this composition = 0.000 eV per atom
Total DFT energy (no corrections) = -3.686 eV/atom

Cell: 5.493 5.493 5.493 Å, 60.00 60.00 60.00°
Each line ends with the local moment (μB).
Atoms (fractional coordinates):
Gd1 0.250 0.250 0.250  0.66
K1 0.750 0.750 0.750  0.05
Nb1 0.000 0.000 0.000  2.79


No. 2
First-principles (PBE) data for a relaxed KNdGdNi2 crystal, as listed in OQMD.

Properties
Crystal system = orthorhombic
Total DFT energy (no corrections) = -4.458 eV/atom

Cell: 3.795 9.241 9.241 Å, 25.32 90.00 90.00°
Atoms (fractional coordinates):
Gd1 0.500 0.669 0.669
K1 0.000 0.003 0.003
Nd1 0.500 0.334 0.334
Ni1 0.000 0.207 0.207
Ni2 0.000 0.787 0.787


No. 3
First-principles (PBE) data for a relaxed KGdNiS3 crystal, as listed in OQMD.

Properties
Crystal system = orthorhombic
Energy relative to the lowest polymorph listed for this composition = 0.026 eV per atom
Total DFT energy (no corrections) = -5.226 eV/atom

Cell: 7.252 7.252 10.521 Å, 90.00 90.00 31.72°
Each line ends with the local moment (μB).
Atoms (fractional coordinates):
Gd1 0.000 0.000 0.000  0.01
Gd2 0.000 0.000 0.500  0.01
K1 0.744 0.744 0.250  0.00
K2 0.256 0.256 0.750  0.00
Ni1 0.469 0.469 0.250  1.14
Ni2 0.531 0.531 0.750  1.14
S1 0.375 0.375 0.074  0.14
S2 0.056 0.056 0.250  0.18
S3 0.375 0.375 0.426  0.14
S4 0.625 0.625 0.574  0.14
S5 0.944 0.944 0.750  0.18
S6 0.625 0.625 0.926  0.14


No. 4
First-principles (PBE) data for a relaxed KGdNiS4 crystal, as listed in OQMD.

Properties
Crystal system = monoclinic
Total DFT energy (no corrections) = -4.967 eV/atom

Cell: 6.495 5.751 8.892 Å, 90.00 107.44 90.00°
Atoms (fractional coordinates):
Gd1 0.247 0.530 0.448
Gd2 0.753 0.030 0.552
K1 0.760 0.017 0.058
K2 0.240 0.517 0.942
Ni1 0.722 0.521 0.313
Ni2 0.278 0.021 0.687
S1 0.926 0.514 0.164
S2 0.469 0.264 0.279
S3 0.483 0.792 0.283
S4 0.115 0.028 0.436
S5 0.885 0.528 0.564
S6 0.517 0.292 0.717
S7 0.531 0.764 0.721
S8 0.074 0.014 0.836